## TiReF2 (PBE)

Data for a relaxed TiReF2 crystal.

The space group is I-42d (No. 122) and the conventional cell measures 3.645, 3.645 and 15.365 Å, with angles of 90.00, 90.00 and 90.00 degrees. The asymmetric unit holds Ti at (0.000, 0.000, 0.000), Re at (0.000, 0.000, 0.500) and F at (0.246, 0.250, 0.625).

For the total magnetization, the calculation gives 0.000 μB/cell. As for the energy relative to the elements, uncorrected: -709 meV per atom. Its crystal system is tetragonal. Its raw total energy is -6.73 eV per atom.


## TiReF2 (PBE)

Data for a relaxed TiReF2 crystal.

The space group is R-3m (No. 166, hexagonal axes) and the conventional cell measures 2.7557, 2.7557 and 29.3876 Å, with angles of 90.00, 90.00 and 120.00 degrees. The asymmetric unit holds Ti at (0.0000, 0.0000, 0.0000), Re at (0.0000, 0.0000, 0.5000) and F at (0.0000, 0.0000, 0.0614).

For the total magnetization, the calculation gives 3.511 μB/cell. As for the energy relative to the elements, uncorrected: -893 meV per atom. Its crystal system is trigonal. Its raw total energy is -6.91 eV per atom.


## TiReF2 (PBE)

Data for a relaxed TiReF2 crystal.

The space group is R-3m (No. 166, hexagonal axes) and the conventional cell measures 2.7182, 2.7182 and 22.4280 Å, with angles of 90.00, 90.00 and 120.00 degrees. The asymmetric unit holds Ti at (0.0000, 0.0000, 0.0000), Re at (0.0000, 0.0000, 0.5000) and F at (0.0000, 0.0000, 0.4018).

For the total magnetization, the calculation gives 0.000 μB/cell. As for the energy relative to the elements, uncorrected: -1220 meV per atom. Its crystal system is trigonal. Its raw total energy is -7.24 eV per atom.


## TiRe2F (PBE)

Data for a relaxed TiRe2F crystal.

The space group is I-42d (No. 122) and the conventional cell measures 3.531, 3.531 and 20.110 Å, with angles of 90.00, 90.00 and 90.00 degrees. The asymmetric unit holds Ti at (0.000, 0.000, 0.000), Re at (0.233, 0.250, 0.125) and F at (0.000, 0.000, 0.500).

For the total magnetization, the calculation gives 0.003 μB/cell. As for the energy relative to the elements, uncorrected: 48 meV per atom. Its crystal system is tetragonal. Its raw total energy is -8.62 eV per atom.


## TiReF3 (PBE)

Data for a relaxed TiReF3 crystal.

The space group is Pm-3m (No. 221) and the conventional cell measures 4.220, 4.220 and 4.220 Å, with angles of 90.00, 90.00 and 90.00 degrees. The asymmetric unit holds Ti at (0.000, 0.000, 0.000), Re at (0.500, 0.500, 0.500) and F at (0.000, 0.500, 0.500).

For the total magnetization, the calculation gives 1.634 μB/cell. As for the energy relative to the elements, uncorrected: -352 meV per atom. Its crystal system is cubic. Its raw total energy is -5.54 eV per atom.


## TiReF2 (PBE)

Data for a relaxed TiReF2 crystal.

The space group is Fm-3m (No. 225) and the conventional cell measures 5.994, 5.994 and 5.994 Å, with angles of 90.00, 90.00 and 90.00 degrees. The asymmetric unit holds Ti at (0.000, 0.000, 0.000), Re at (0.000, 0.000, 0.500) and F at (0.250, 0.250, 0.250).

For the total magnetization, the calculation gives 11.857 μB/cell. As for the energy relative to the elements, uncorrected: 23 meV per atom. Its crystal system is cubic. Its raw total energy is -6.00 eV per atom.


## TiRe2F (PBE)

Data for a relaxed TiRe2F crystal.

The space group is Fm-3m (No. 225) and the conventional cell measures 6.114, 6.114 and 6.114 Å, with angles of 90.00, 90.00 and 90.00 degrees. The asymmetric unit holds Ti at (0.000, 0.000, 0.000), Re at (0.250, 0.250, 0.250) and F at (0.000, 0.000, 0.500).

For the total magnetization, the calculation gives 0.000 μB/cell. As for the energy relative to the elements, uncorrected: 521 meV per atom. Its crystal system is cubic. Its raw total energy is -8.15 eV per atom.


## TiReF3 (PBE)

Data for a relaxed TiReF3 crystal.

The space group is Pm-3m (No. 221) and the conventional cell measures 4.201, 4.201 and 4.201 Å, with angles of 90.00, 90.00 and 90.00 degrees. The asymmetric unit holds Ti at (0.000, 0.000, 0.000), Re at (0.500, 0.500, 0.500) and F at (0.000, 0.000, 0.500).

For the total magnetization, the calculation gives 5.676 μB/cell. As for the energy relative to the elements, uncorrected: -883 meV per atom. Its crystal system is cubic. Its raw total energy is -6.07 eV per atom.


## Tl3ReF (PBE)

Data for a relaxed Tl3ReF crystal.

The space group is Pm-3m (No. 221) and the conventional cell measures 5.321, 5.321 and 5.321 Å, with angles of 90.00, 90.00 and 90.00 degrees. The asymmetric unit holds Tl at (0.000, 0.000, 0.500), Re at (0.000, 0.000, 0.000) and F at (0.500, 0.500, 0.500).

For the total magnetization, the calculation gives 0.000 μB/cell. As for the energy relative to the elements, uncorrected: 227 meV per atom. Its crystal system is cubic. Its raw total energy is -4.06 eV per atom.


## Tl2ReF (PBE)

Data for a relaxed Tl2ReF crystal.

The space group is I-42d (No. 122) and the conventional cell measures 5.021, 5.021 and 16.052 Å, with angles of 90.00, 90.00 and 90.00 degrees. The asymmetric unit holds Tl at (0.220, 0.250, 0.125), Re at (0.000, 0.000, 0.500) and F at (0.000, 0.000, 0.000).

For the total magnetization, the calculation gives 10.685 μB/cell. As for the energy relative to the elements, uncorrected: 647 meV per atom. Its crystal system is tetragonal. Its raw total energy is -4.12 eV per atom.


## TlRe2F2 (PBE)

Data for a relaxed TlRe2F2 crystal.

The space group is I4/mmm (No. 139) and the conventional cell measures 3.486, 3.486 and 15.427 Å, with angles of 90.00, 90.00 and 90.00 degrees. The asymmetric unit holds Tl at (0.000, 0.000, 0.000), Re at (0.000, 0.500, 0.250) and F at (0.000, 0.000, 0.396).

For the total magnetization, the calculation gives 0.000 μB/cell. As for the energy relative to the elements, uncorrected: 105 meV per atom. Its crystal system is tetragonal. Its raw total energy is -6.10 eV per atom.


## TlRe2F2 (PBE)

Data for a relaxed TlRe2F2 crystal.

The space group is P4/mbm (No. 127) and the conventional cell measures 8.516, 8.516 and 2.666 Å, with angles of 90.00, 90.00 and 90.00 degrees. The asymmetric unit holds Tl at (0.000, 0.000, 0.000), Re at (0.097, 0.403, 0.500) and F at (0.235, 0.265, 0.000).

For the total magnetization, the calculation gives 0.000 μB/cell. As for the energy relative to the elements, uncorrected: 77 meV per atom. Its crystal system is tetragonal. Its raw total energy is -6.12 eV per atom.


## Tl3ReF (PBE)

Data for a relaxed Tl3ReF crystal.

The space group is Pm-3m (No. 221) and the conventional cell measures 5.028, 5.028 and 5.028 Å, with angles of 90.00, 90.00 and 90.00 degrees. The asymmetric unit holds Tl at (0.000, 0.000, 0.500), Re at (0.500, 0.500, 0.500) and F at (0.000, 0.000, 0.000).

For the total magnetization, the calculation gives 3.243 μB/cell. As for the energy relative to the elements, uncorrected: 498 meV per atom. Its crystal system is cubic. Its raw total energy is -3.79 eV per atom.


## TlReF3 (PBE)

Data for a relaxed TlReF3 crystal.

The space group is Pm-3m (No. 221) and the conventional cell measures 4.682, 4.682 and 4.682 Å, with angles of 90.00, 90.00 and 90.00 degrees. The asymmetric unit holds Tl at (0.000, 0.000, 0.000), Re at (0.500, 0.500, 0.500) and F at (0.000, 0.000, 0.500).

For the total magnetization, the calculation gives 5.855 μB/cell. As for the energy relative to the elements, uncorrected: -208 meV per atom. Its crystal system is cubic. Its raw total energy is -4.29 eV per atom.